(1)
Here is an optimized crystal structure of Tb5Ag4Pb from Alexandria via LeMat-Bulk. Energies are from GGA-PBE.

Output
The energy of formation is -339.4 meV per atom. The calculation puts the volume at 25.2 Å³ per atom.

Unit cell a=3.593 b=3.593 c=19.483 alpha=90.00 beta=90.00 gamma=90.00
Sites, in units of the cell vectors:
Ag (0.000, 0.000, 0.403)
Ag (0.000, 0.000, 0.787)
Ag (0.000, 0.000, 0.213)
Ag (0.000, 0.000, 0.597)
Tb (0.500, 0.500, 0.308)
Tb (0.500, 0.500, 0.115)
Tb (0.500, 0.500, 0.885)
Tb (0.500, 0.500, 0.500)
Tb (0.500, 0.500, 0.692)
Pb (0.000, 0.000, 0.000)



(2)
Here is an optimized crystal structure of Tb2AgPb from Alexandria via LeMat-Bulk. Energies are from GGA-PBE.

Output
The energy of formation is -398.0 meV per atom. The calculation puts the volume at 27.3 Å³ per atom.

Unit cell a=4.693 b=6.271 c=7.909 alpha=109.99 beta=90.00 gamma=90.00
Sites, in units of the cell vectors:
Ag (0.750, 0.660, 0.796)
Ag (0.250, 0.340, 0.204)
Tb (0.750, 0.195, 0.935)
Tb (0.250, 0.805, 0.065)
Tb (0.750, 0.216, 0.414)
Tb (0.250, 0.784, 0.586)
Pb (0.750, 0.676, 0.291)
Pb (0.250, 0.324, 0.709)



(3)
Here is an optimized crystal structure of Tb2AgPb from Alexandria via LeMat-Bulk. Energies are from GGA-PBE.

Output
The energy of formation is -383.6 meV per atom. The calculation puts the volume at 26.4 Å³ per atom.

Unit cell a=4.080 b=5.091 c=5.091 alpha=90.00 beta=90.00 gamma=90.00
Sites, in units of the cell vectors:
Tb (0.000, 0.000, 0.500)
Tb (0.000, 0.500, 0.000)
Ag (0.500, 0.000, 0.000)
Pb (0.500, 0.500, 0.500)



(4)
Here is an optimized crystal structure of Tb4Ag3Pb from Alexandria via LeMat-Bulk. Energies are from GGA-PBE.

Output
The energy of formation is -351.3 meV per atom. The calculation puts the volume at 25.4 Å³ per atom.

Unit cell a=5.218 b=5.218 c=8.336 alpha=108.22 beta=108.24 gamma=90.00
Sites, in units of the cell vectors:
Tb (0.130, 0.130, 0.261)
Tb (0.630, 0.630, 0.261)
Tb (0.370, 0.370, 0.739)
Tb (0.870, 0.870, 0.739)
Ag (0.000, 0.500, 0.000)
Ag (0.247, 0.746, 0.493)
Ag (0.753, 0.254, 0.507)
Pb (0.500, 0.000, 0.000)



(5)
Here is an optimized crystal structure of TbAgPb from Alexandria via LeMat-Bulk. Energies are from GGA-PBE.

Output
The energy of formation is -414.1 meV per atom. The calculation puts the volume at 25.3 Å³ per atom.

Unit cell a=4.829 b=4.829 c=7.516 alpha=90.00 beta=90.00 gamma=120.00
Sites, in units of the cell vectors:
Pb (0.333, 0.667, 0.224)
Pb (0.667, 0.333, 0.724)
Tb (0.000, 0.000, 0.504)
Tb (0.000, 0.000, 0.004)
Ag (0.667, 0.333, 0.318)
Ag (0.333, 0.667, 0.818)



(6)
Here is an optimized crystal structure of TbAgPb from Alexandria via LeMat-Bulk. Energies are from GGA-PBE.

Output
The energy of formation is 373.3 meV per atom. The calculation puts the volume at 29.1 Å³ per atom.

Unit cell a=3.227 b=3.227 c=8.682 alpha=100.71 beta=100.71 gamma=90.00
Sites, in units of the cell vectors:
Tb (0.944, 0.944, 0.888)
Pb (0.138, 0.138, 0.275)
Ag (0.768, 0.768, 0.537)



(7)
Here is an optimized crystal structure of TbAg3Pb from Alexandria via LeMat-Bulk. Energies are from GGA-PBE.

Output
The energy of formation is -31.5 meV per atom. The calculation puts the volume at 23.5 Å³ per atom.

Unit cell a=3.465 b=4.713 c=14.589 alpha=99.29 beta=90.00 gamma=90.00
Sites, in units of the cell vectors:
Pb (0.000, 0.626, 0.251)
Pb (0.000, 0.374, 0.749)
Ag (0.000, 0.727, 0.454)
Ag (0.000, 0.273, 0.546)
Ag (0.000, 0.050, 0.100)
Ag (0.500, 0.454, 0.908)
Ag (0.500, 0.546, 0.092)
Ag (0.000, 0.950, 0.900)
Tb (0.500, 0.823, 0.646)
Tb (0.500, 0.177, 0.354)



(8)
Here is an optimized crystal structure of TbAg2Pb from Alexandria via LeMat-Bulk. Energies are from GGA-PBE.

Output
The energy of formation is -208.3 meV per atom. The calculation puts the volume at 23.4 Å³ per atom.

Unit cell a=4.561 b=4.534 c=4.534 alpha=90.00 beta=90.00 gamma=90.00
Sites, in units of the cell vectors:
Ag (0.000, 0.000, 0.500)
Ag (0.000, 0.500, 0.000)
Pb (0.500, 0.000, 0.000)
Tb (0.500, 0.500, 0.500)



Number 1: total energy -4.1658 eV per atom. Number 2: total energy -4.3530 eV per atom. Number 3: total energy -4.3386 eV per atom. Number 4: total energy -4.1992 eV per atom. Number 5: total energy -4.1440 eV per atom. Number 6: total energy -3.3566 eV per atom. Number 7: total energy -3.4100 eV per atom. Number 8: total energy -3.7186 eV per atom.